## NpInSi2 (PBE)

Data for NpInSi2 after structural relaxation.

a = 3.9146 Å, b = 4.4353 Å, c = 4.4353 Å
α = 90.00°, β = 90.00°, γ = 90.00°
With the nearest neighbours (Å) after each atom.
Element x y z (fractional)
In (0.5000, 0.0000, 0.0000)  8 Si 2.96, 4 Np 3.14
Si (0.0000, 0.5000, 0.0000)  4 In 2.96, 4 Np 2.96, 4 Si 3.14
Np (0.5000, 0.5000, 0.5000)  8 Si 2.96, 4 In 3.14
Si (0.0000, 0.0000, 0.5000)  4 In 2.96, 4 Np 2.96, 4 Si 3.14

Results
Formation energy from raw total energies   -52 meV/atom
Calculated density   8.8 g/cm³
Space group   P4/mmm
Magnetic moment   3.33 μB per formula unit



## Pr5Y5Ho2 (PBE)

Data for Pr5Y5Ho2 after structural relaxation.

a = 5.1247 Å, b = 8.1027 Å, c = 11.4635 Å
α = 115.15°, β = 90.00°, γ = 108.44°
With the nearest neighbours (Å) after each atom.
Element x y z (fractional)
Y (0.7482, 0.4964, 0.7477)  6 Pr 3.59-3.64, 4 Y 3.60-3.65, 2 Ho 3.61
Ho (0.0833, 0.1667, 0.7493)  5 Y 3.61-3.63, 7 Pr 3.62-3.63
Y (0.2518, 0.5036, 0.2523)  6 Pr 3.59-3.64, 4 Y 3.60-3.65, 2 Ho 3.61
Pr (0.5832, 0.1663, 0.2502)  7 Y 3.62-3.64, 3 Pr 3.62-3.63, 2 Ho 3.62
Pr (0.3335, 0.6670, 0.0004)  4 Pr 3.62-3.63, 5 Y 3.62-3.64, 3 Ho 3.63
Y (0.0000, 0.0000, 0.0000)  8 Pr 3.62-3.63, 2 Ho 3.63, 2 Y 3.65
Pr (0.4168, 0.8337, 0.7498)  7 Y 3.62-3.64, 3 Pr 3.62-3.63, 2 Ho 3.62
Pr (0.6665, 0.3330, 0.9996)  4 Pr 3.62-3.63, 5 Y 3.62-3.64, 3 Ho 3.63
Ho (0.9167, 0.8333, 0.2507)  5 Y 3.61-3.63, 7 Pr 3.62-3.63
Pr (0.5000, 0.0000, 0.5000)  6 Y 3.59-3.62, 4 Ho 3.62, 2 Pr 3.62
Y (0.1669, 0.3338, 0.5012)  5 Y 3.60-3.63, 2 Ho 3.61-3.63, 5 Pr 3.62-3.63
Y (0.8331, 0.6662, 0.4988)  5 Y 3.60-3.63, 2 Ho 3.61-3.63, 5 Pr 3.62-3.63

Results
ΔH_f (0 K)   18 meV/atom
Calculated density   6.1 g/cm³
Space group   C2/m
Magnetic moment   0.00 μB per formula unit
Relative energy among the computed polymorphs   0.000 eV per atom



## Dy2Tl3PbSe6 (PBE)

Data for Dy2Tl3PbSe6 after structural relaxation.

a = 4.2189 Å, b = 9.0132 Å, c = 9.9889 Å
α = 106.40°, β = 102.19°, γ = 90.00°
With the nearest neighbours (Å) after each atom.
Element x y z (fractional)
Se (0.3353, 0.8845, 0.6707)  2 Dy 2.88, 1 Pb 3.08, 1 Tl 3.22
Pb (0.5000, 0.0000, 0.0000)  6 Se 3.05-3.08
Se (0.6758, 0.5588, 0.3516)  3 Dy 2.90
Se (0.9854, 0.7478, 0.9708)  1 Dy 2.89, 2 Pb 3.05, 2 Tl 3.14
Se (0.6647, 0.1155, 0.3293)  2 Dy 2.88, 1 Pb 3.08, 1 Tl 3.22
Se (0.3242, 0.4412, 0.6484)  3 Dy 2.90
Tl (0.8346, 0.1664, 0.6691)  6 Se 3.22-3.37
Tl (0.5000, 0.5000, 0.0000)  6 Se 3.14-3.32
Dy (0.8308, 0.6651, 0.6615)  6 Se 2.88-2.90
Tl (0.1654, 0.8336, 0.3309)  6 Se 3.22-3.37
Dy (0.1692, 0.3349, 0.3385)  6 Se 2.88-2.90
Se (0.0146, 0.2522, 0.0292)  1 Dy 2.89, 2 Pb 3.05, 2 Tl 3.14

Results
Formation energy from raw total energies   -1046 meV/atom
Calculated density   7.6 g/cm³
Space group   C2/m
Magnetic moment   0.00 μB per formula unit



## AsIrOs2 (PBE)

Data for AsIrOs2 after structural relaxation.

a = 5.3027 Å, b = 5.3027 Å, c = 5.3027 Å
α = 148.24°, β = 130.80°, γ = 59.76°
With the nearest neighbours (Å) after each atom.
Element x y z (fractional)
Ir (0.2500, 0.7500, 0.5000)  4 As 2.64, 2 Ir 2.90
Os (0.5349, 0.5349, 0.0000)  2 As 2.45, 4 Os 2.72
As (0.7500, 0.2500, 0.5000)  4 Os 2.45, 4 Ir 2.64
Os (0.9651, 0.9651, 0.0000)  2 As 2.45, 4 Os 2.72

Results
ΔH_f (0 K)   398 meV/atom
Calculated density   18.3 g/cm³
Space group   Immm
Magnetic moment   0.00 μB per formula unit